[1]
! Ga9Rh2, PBEsol geometry, DFT SCAN; values from VASP
&SYSTEM
  ibrav = 0, nat = 22, ntyp = 2
/
ATOMIC_SPECIES
Ga 69.72 Ga.upf
Rh 102.91 Rh.upf
CELL_PARAMETERS angstrom
-1.752 -5.828 1.893
-1.013 -1.661 -6.052
8.326 -2.555 -0.159
ATOMIC_POSITIONS crystal
Ga 0.988 0.398 0.270
Ga 0.500 0.000 0.500
Ga 0.785 0.899 0.273
Ga 0.012 0.602 0.730
Ga 0.603 0.205 0.040
Ga 0.215 0.101 0.727
Ga 0.285 0.101 0.227
Ga 0.488 0.602 0.230
Ga 0.512 0.398 0.770
Ga 0.198 0.394 0.995
Ga 0.698 0.606 0.505
Ga 0.802 0.606 0.005
Ga 0.397 0.795 0.960
Ga 0.897 0.205 0.540
Ga 0.000 0.000 0.000
Ga 0.103 0.795 0.460
Ga 0.302 0.394 0.495
Ga 0.715 0.899 0.773
Rh 0.373 0.738 0.669
Rh 0.627 0.262 0.331
Rh 0.873 0.262 0.831
Rh 0.127 0.738 0.169
! ρ	7.9	Mg/m³
! SG	P2_1/c (14)
! ΔE_f	-0.37	eV/atom



[2]
! Ga2Ni2Sb, PBEsol geometry, DFT SCAN; values from VASP
&SYSTEM
  ibrav = 0, nat = 5, ntyp = 3
/
ATOMIC_SPECIES
Sb 121.76 Sb.upf
Ga 69.72 Ga.upf
Ni 58.69 Ni.upf
CELL_PARAMETERS angstrom
-0.481 -3.444 -0.953
0.155 -0.981 3.466
-5.544 2.886 -0.811
ATOMIC_POSITIONS crystal
Sb 0.000 0.000 0.000
Ga 0.250 0.750 0.500
Ga 0.750 0.250 0.500
Ni 0.606 0.606 0.213
Ni 0.394 0.394 0.787
! E_form (uncorrected)	-12	kJ/mol of atoms
! ρ	8.4	Mg/m³
! SG	I4/mmm (139)